The following is a PBE calculation of Na2SiAsPd6 after structural relaxation, from Alexandria via LeMat-Bulk.

a b c (Å): 5.1465 5.7033 5.9144
angles (deg): 79.02 83.81 83.70
Space group P-1 (No. 2)
Symmetry-distinct sites (fractional):
Na: 0.2471 0.1002 0.3962 x2
Si: 0.0000 0.0000 0.0000 x1
As: 0.5000 0.5000 0.5000 x1
Pd: 0.1053 0.6333 0.2904 x2
Pd: 0.2575 0.6945 0.8222 x2
Pd: 0.3837 0.1996 0.8681 x2

Summary:
* ΔE_f (raw): -0.361 eV per atom
* total magnetic moment: 0.00 Bohr magnetons per cell
* E_tot: -47.48 eV/cell
* calculated volume: 16.9 Å³ per atom

=====

The following is a PBE calculation of LiPrC after structural relaxation, from Alexandria via LeMat-Bulk.

a b c (Å): 7.9652 3.6893 9.2695
angles (deg): 90.00 98.69 90.00
Space group C2/m (No. 12)
Symmetry-distinct sites (fractional):
Li: 0.1366 0.0000 0.4354 x4
Pr: 0.1217 0.5000 0.8446 x4
C: 0.0797 0.0000 0.0373 x4

Summary:
* total magnetic moment: 0.00 Bohr magnetons per cell
* ΔH_f (0 K): -0.14 eV per formula unit
* E_tot: -64.24 eV/cell
* calculated volume: 22.4 Å³ per atom

=====

The following is a PBE calculation of Be2SbPd2 after structural relaxation, from Alexandria via LeMat-Bulk.

a b c (Å): 6.6600 6.6600 3.2007
angles (deg): 90.00 90.00 90.00
Space group P4/mbm (No. 127)
Symmetry-distinct sites (fractional):
Be: 0.1190 0.3810 0.0000 x4
Sb: 0.0000 0.0000 0.0000 x2
Pd: 0.1532 0.6532 0.5000 x4

Summary:
* ΔE_f (raw): -0.248 eV per atom
* total magnetic moment: 0.00 Bohr magnetons per cell
* E_tot: -46.41 eV/cell
* calculated volume: 14.2 Å³ per atom

=====

The following is a PBE calculation of Ba11NaIr2 after structural relaxation, from Alexandria via LeMat-Bulk.

a b c (Å): 13.9200 15.7844 15.4730
angles (deg): 90.00 90.00 90.00
Space group Ibam (No. 72)
Symmetry-distinct sites (fractional):
Ba: 0.0000 0.0000 0.0000 x4
Ba: 0.0981 0.3435 0.0000 x8
Ba: 0.1280 0.1891 0.3541 x16
Ba: 0.2421 0.4389 0.3727 x16
Na: 0.0000 0.5000 0.2500 x4
Ir: 0.2055 0.0756 0.5000 x8

Summary:
* total magnetic moment: 0.00 Bohr magnetons per cell
* ΔH_f (0 K): -0.07 eV per formula unit
* E_tot: -161.03 eV/cell
* calculated volume: 60.7 Å³ per atom

=====

The following is a PBE calculation of Ti3Ga6Mo after structural relaxation, from Alexandria via LeMat-Bulk.

a b c (Å): 9.3894 5.1607 8.3757
angles (deg): 90.00 123.87 90.00
Space group C2/m (No. 12)
Symmetry-distinct sites (fractional):
Ti: 0.0000 0.0000 0.0000 x2
Ti: 0.1353 0.0000 0.7074 x4
Ga: 0.1312 0.2482 0.3252 x8
Ga: 0.1696 0.5000 0.9051 x4
Mo: 0.0000 0.5000 0.5000 x2

Summary:
* total magnetic moment: 0.00 Bohr magnetons per cell
* ΔH_f (0 K): -1.12 eV per formula unit
* E_tot: -107.60 eV/cell
* calculated volume: 16.8 Å³ per atom